A.
Here is a relaxed IrOs2 crystal from Alexandria. Energies are from PBE. Values from VASP.

Cell and atoms, written as Quantum ESPRESSO input:
```
&SYSTEM
  ibrav = 0, nat = 3, ntyp = 2
/
ATOMIC_SPECIES
Os 190.23 Os.upf
Ir 192.22 Ir.upf
CELL_PARAMETERS angstrom
-1.9331 -2.5336 -0.9261
3.6706 0.4318 -2.8966
2.4029 -2.1351 0.8255
ATOMIC_POSITIONS crystal
Os 0.6673 0.3346 0.3327
Os 0.3327 0.6654 0.6673
Ir 0.0000 0.0000 0.0000
```

Values from the calculation:
D(E_F) = 4.713 states/eV per cell
Space group = No. 139
Calculated volume = 44.8 Å³ per cell
Total moment = 1.014 μB per formula unit

B.
Here is a relaxed IrOs2 crystal from Alexandria. Energies are from PBE. Values from VASP.

Cell and atoms, written as Quantum ESPRESSO input:
```
&SYSTEM
  ibrav = 0, nat = 3, ntyp = 2
/
ATOMIC_SPECIES
Os 190.23 Os.upf
Ir 192.22 Ir.upf
CELL_PARAMETERS angstrom
2.1714 -3.7610 0.0000
2.1714 3.7610 0.0000
0.0000 0.0000 2.7279
ATOMIC_POSITIONS crystal
Os 0.6667 0.3333 0.0000
Ir 0.0000 0.0000 0.5000
Os 0.3333 0.6667 0.0000
```

Values from the calculation:
D(E_F) = 3.863 states/eV per cell
Space group = No. 191
Calculated volume = 44.6 Å³ per cell
Total moment = 0.000 μB per formula unit

C.
Here is a relaxed IrOs2 crystal from Alexandria. Energies are from PBE. Values from VASP.

Cell and atoms, written as Quantum ESPRESSO input:
```
&SYSTEM
  ibrav = 0, nat = 6, ntyp = 2
/
ATOMIC_SPECIES
Os 190.23 Os.upf
Ir 192.22 Ir.upf
CELL_PARAMETERS angstrom
2.8220 -3.6538 1.8511
-4.8140 -0.9293 -0.8381
1.9340 1.0078 -4.4705
ATOMIC_POSITIONS crystal
Os 0.1379 0.6379 0.7758
Ir 0.2500 0.2500 0.0000
Os 0.8621 0.3621 0.2242
Os 0.6379 0.8621 0.5000
Ir 0.7500 0.7500 0.0000
Os 0.3621 0.1379 0.5000
```

Values from the calculation:
D(E_F) = 7.647 states/eV per cell
Space group = No. 140
Calculated volume = 93.0 Å³ per cell
Total moment = 0.000 μB per formula unit

D.
Here is a relaxed IrOs2 crystal from Alexandria. Energies are from PBE. Values from VASP.

Cell and atoms, written as Quantum ESPRESSO input:
```
&SYSTEM
  ibrav = 0, nat = 3, ntyp = 2
/
ATOMIC_SPECIES
Ir 192.22 Ir.upf
Os 190.23 Os.upf
CELL_PARAMETERS angstrom
-5.5741 0.0253 -2.4877
-5.9443 -0.3766 1.3355
5.6812 2.0953 0.7704
ATOMIC_POSITIONS crystal
Ir 0.5000 0.5000 0.0000
Os 0.8306 0.8306 0.0000
Os 0.1694 0.1694 0.0000
```

Values from the calculation:
D(E_F) = 2.795 states/eV per cell
Space group = No. 139
Calculated volume = 43.2 Å³ per cell
Total moment = 0.000 μB per formula unit

It comes down to D, which is 321 meV/atom more stable than the next structure.